[1]
CuPtBr2: relaxed, PBEsol.

a = 3.4511 Å, b = 3.4511 Å, c = 6.7632 Å
α = 90.00°, β = 90.00°, γ = 90.00°
With the nearest neighbours (Å) after each atom.
Fractional positions:
Cu (0.0000, 0.0000, 0.0000)  1 Br 2.42, 4 Pt 2.56
Pt (0.5000, 0.5000, 0.1150)  1 Br 2.44, 4 Cu 2.56
Br (0.0000, 0.0000, 0.3572)  1 Cu 2.42
Br (0.5000, 0.5000, 0.7545)  1 Pt 2.44

- Magnetic moment: 0.0 μB/cell
- Space-group type: No. 99
- Crystal system: tetragonal
- Final energy: -3.53 eV/atom

***

[2]
SrYTc2: relaxed, PBEsol.

a = 5.5727 Å, b = 5.5727 Å, c = 5.5727 Å
α = 144.20°, β = 127.38°, γ = 65.28°
With the nearest neighbours (Å) after each atom.
Fractional positions:
Sr (0.0000, 0.0000, 0.0000)  4 Tc 2.95, 4 Y 3.01
Y (0.5000, 0.5000, 0.0000)  4 Tc 2.86, 4 Sr 3.01
Tc (0.2560, 0.7560, 0.5000)  2 Y 2.86, 2 Sr 2.95, 4 Tc 3.01
Tc (0.7440, 0.2440, 0.5000)  2 Y 2.86, 2 Sr 2.95, 4 Tc 3.01

- Magnetic moment: 0.0 μB/cell
- Space-group type: No. 71
- DFT formation energy: 902 meV per atom
- Crystal system: orthorhombic

***

[3]
AlIn2Si: relaxed, PBEsol.

a = 5.4963 Å, b = 5.4963 Å, c = 5.4963 Å
α = 134.84°, β = 134.84°, γ = 65.78°
With the nearest neighbours (Å) after each atom.
Fractional positions:
Al (0.0000, 0.0000, 0.0000)  8 In 2.98-3.13, 4 Si 3.13
In (0.5000, 0.5000, 0.0000)  4 Al 2.98, 4 In 3.13, 4 Si 3.13
In (0.7500, 0.2500, 0.5000)  4 Si 2.98, 4 In 3.13, 4 Al 3.13
Si (0.2500, 0.7500, 0.5000)  8 In 2.98-3.13, 4 Al 3.13

- Magnetic moment: 0.0 μB/cell
- Space-group type: No. 119
- Crystal system: tetragonal
- Final energy: -3.66 eV/atom

***

[4]
CaDyZn2: relaxed, PBEsol.

a = 5.0019 Å, b = 5.0019 Å, c = 5.0019 Å
α = 60.00°, β = 60.00°, γ = 60.00°
With the nearest neighbours (Å) after each atom.
Fractional positions:
Ca (0.0000, 0.0000, 0.0000)  8 Zn 3.06
Dy (0.5000, 0.5000, 0.5000)  8 Zn 3.06
Zn (0.2500, 0.2500, 0.2500)  4 Dy 3.06, 4 Ca 3.06
Zn (0.7500, 0.7500, 0.7500)  4 Dy 3.06, 4 Ca 3.06

- Magnetic moment: 0.0 μB/cell
- Space-group type: No. 225
- DFT formation energy: -276 meV per atom
- Crystal system: cubic

***

[5]
EuGaSi: relaxed, PBEsol.

a = 4.1254 Å, b = 4.1254 Å, c = 4.2866 Å
α = 90.00°, β = 90.00°, γ = 120.00°
With the nearest neighbours (Å) after each atom.
Fractional positions:
Eu (0.0000, 0.0000, 0.0000)  6 Si 3.20, 6 Ga 3.20
Ga (0.6667, 0.3333, 0.5000)  3 Si 2.38
Si (0.3333, 0.6667, 0.5000)  3 Ga 2.38

- Magnetic moment: 7.0 μB/cell
- Space-group type: No. 187
- Crystal system: hexagonal
- Final energy: -7.18 eV/atom

***

[6]
CrPtSe2: relaxed, PBEsol.

a = 4.5422 Å, b = 4.5422 Å, c = 4.5422 Å
α = 60.00°, β = 60.00°, γ = 60.00°
With the nearest neighbours (Å) after each atom.
Fractional positions:
Cr (0.0000, 0.0000, 0.0000)  4 Se 2.78, 4 Pt 2.78
Pt (0.2500, 0.2500, 0.2500)  4 Cr 2.78, 4 Se 2.78
Se (0.5000, 0.5000, 0.5000)  4 Se 2.78, 4 Pt 2.78
Se (0.7500, 0.7500, 0.7500)  4 Cr 2.78, 4 Se 2.78

- Magnetic moment: 3.1 μB/cell
- Space-group type: No. 216
- Crystal system: cubic
- Final energy: -5.80 eV/atom

***

- Look up the magnetic moment of the sixth one.
  3.1 μB/cell